Record 1
Compound: TaCoRu2
Source: Alexandria via LeMat-Bulk
Functional: GGA-PBE
Structure: relaxed

Cell: 3.8200 3.8200 3.8338 Å, 90.00 90.00 90.00°
Fractional positions:
Ta (0.0000, 0.0000, 0.0000)
Co (0.5000, 0.5000, 0.0000)
Ru (0.0000, 0.5000, 0.5000)
Ru (0.5000, 0.0000, 0.5000)

Values from the calculation:
Size of the total moment (μB/f.u.): 0.0


Record 2
Compound: TaCoRu2
Source: Alexandria via LeMat-Bulk
Functional: GGA-PBE
Structure: relaxed

Cell: 3.1639 3.1639 5.7688 Å, 90.00 90.00 90.00°
Fractional positions:
Ta (0.0000, 0.0000, 0.0000)
Co (0.0000, 0.0000, 0.5000)
Ru (0.5000, 0.5000, 0.2659)
Ru (0.5000, 0.5000, 0.7341)

Values from the calculation:
Size of the total moment (μB/f.u.): 2.8


Record 3
Compound: TaCoRu2
Source: Alexandria via LeMat-Bulk
Functional: GGA-PBE
Structure: relaxed

Cell: 2.7742 3.7259 5.4600 Å, 90.00 90.09 90.00°
Fractional positions:
Ta (0.0000, 0.0000, 0.0000)
Co (0.4993, 0.5000, 0.7561)
Ru (0.0012, 0.0000, 0.5145)
Ru (0.5001, 0.5000, 0.2828)

Values from the calculation:
Size of the total moment (μB/f.u.): 0.0


Record 4
Compound: TaCoRu
Source: Alexandria via LeMat-Bulk
Functional: GGA-PBE
Structure: relaxed

Cell: 4.2734 4.2734 2.7565 Å, 90.00 90.00 120.00°
Fractional positions:
Ta (0.0000, 0.0000, 0.0000)
Co (0.6667, 0.3333, 0.2690)
Ru (0.3333, 0.6667, 0.6750)

Values from the calculation:
Size of the total moment (μB/f.u.): 1.4


Record 5
Compound: TaCoRu2
Source: Alexandria via LeMat-Bulk
Functional: GGA-PBE
Structure: relaxed

Cell: 2.7387 2.7387 7.5289 Å, 90.00 90.00 90.00°
Fractional positions:
Ta (0.0000, 0.0000, 0.0000)
Co (0.5000, 0.5000, 0.2488)
Ru (0.0000, 0.0000, 0.4780)
Ru (0.5000, 0.5000, 0.7170)

Values from the calculation:
Size of the total moment (μB/f.u.): 0.0


Record 6
Compound: Ta3Co5Ru12
Source: Alexandria via LeMat-Bulk
Functional: GGA-PBE
Structure: relaxed

Cell: 12.1647 12.1647 12.1647 Å, 109.47 109.47 109.47°
Fractional positions:
Ta (0.1250, 0.2500, 0.3750)
Ta (0.1250, 0.3750, 0.7500)
Ta (0.2500, 0.3750, 0.1250)
Ta (0.2500, 0.8750, 0.6250)
Ta (0.3750, 0.1250, 0.2500)
Ta (0.3750, 0.7500, 0.1250)
Ta (0.6250, 0.2500, 0.8750)
Ta (0.6250, 0.8750, 0.7500)
Ta (0.7500, 0.1250, 0.3750)
Ta (0.7500, 0.6250, 0.8750)
Ta (0.8750, 0.6250, 0.2500)
Ta (0.8750, 0.7500, 0.6250)
Co (0.0000, 0.0000, 0.0000)
Co (0.0000, 0.0000, 0.5000)
Co (0.0000, 0.5000, 0.0000)
Co (0.0000, 0.5000, 0.5000)
Co (0.1250, 0.7500, 0.8750)
Co (0.1250, 0.8750, 0.2500)
Co (0.2500, 0.1250, 0.8750)
Co (0.2500, 0.6250, 0.3750)
Co (0.3750, 0.2500, 0.6250)
Co (0.3750, 0.6250, 0.7500)
Co (0.5000, 0.0000, 0.0000)
Co (0.5000, 0.0000, 0.5000)
Co (0.5000, 0.5000, 0.0000)
Co (0.5000, 0.5000, 0.5000)
Co (0.6250, 0.3750, 0.2500)
Co (0.6250, 0.7500, 0.3750)
Co (0.7500, 0.3750, 0.6250)
Co (0.7500, 0.8750, 0.1250)
Co (0.8750, 0.1250, 0.7500)
Co (0.8750, 0.2500, 0.1250)
Ru (0.0528, 0.2237, 0.1338)
Ru (0.0528, 0.3291, 0.9190)
Ru (0.0810, 0.6338, 0.4102)
Ru (0.0810, 0.9472, 0.6709)
Ru (0.0898, 0.7237, 0.6709)
Ru (0.0898, 0.8662, 0.4190)
Ru (0.1338, 0.0528, 0.2237)
Ru (0.1338, 0.5810, 0.9102)
Ru (0.1709, 0.2237, 0.5898)
Ru (0.1709, 0.4472, 0.5810)
Ru (0.2237, 0.1338, 0.0528)
Ru (0.2237, 0.5898, 0.1709)
Ru (0.2763, 0.3291, 0.9102)
Ru (0.2763, 0.4472, 0.3662)
Ru (0.3291, 0.9102, 0.2763)
Ru (0.3291, 0.9190, 0.0528)
Ru (0.3662, 0.2763, 0.4472)
Ru (0.3662, 0.5898, 0.9190)
Ru (0.4102, 0.0810, 0.6338)
Ru (0.4102, 0.8291, 0.7763)
Ru (0.4190, 0.0898, 0.8662)
Ru (0.4190, 0.8291, 0.5528)
Ru (0.4472, 0.3662, 0.2763)
Ru (0.4472, 0.5810, 0.1709)
Ru (0.5528, 0.4190, 0.8291)
Ru (0.5528, 0.6338, 0.7237)
Ru (0.5810, 0.1709, 0.4472)
Ru (0.5810, 0.9102, 0.1338)
Ru (0.5898, 0.1709, 0.2237)
Ru (0.5898, 0.9190, 0.3662)
Ru (0.6338, 0.4102, 0.0810)
Ru (0.6338, 0.7237, 0.5528)
Ru (0.6709, 0.0810, 0.9472)
Ru (0.6709, 0.0898, 0.7237)
Ru (0.7237, 0.5528, 0.6338)
Ru (0.7237, 0.6709, 0.0898)
Ru (0.7763, 0.4102, 0.8291)
Ru (0.7763, 0.8662, 0.9472)
Ru (0.8291, 0.5528, 0.4190)
Ru (0.8291, 0.7763, 0.4102)
Ru (0.8662, 0.4190, 0.0898)
Ru (0.8662, 0.9472, 0.7763)
Ru (0.9102, 0.1338, 0.5810)
Ru (0.9102, 0.2763, 0.3291)
Ru (0.9190, 0.0528, 0.3291)
Ru (0.9190, 0.3662, 0.5898)
Ru (0.9472, 0.6709, 0.0810)
Ru (0.9472, 0.7763, 0.8662)

Values from the calculation:
Size of the total moment (μB/f.u.): 4.0


It is found that the calculated total energy values, taken in the order of the records, are -9.5792 -9.4507 -9.4491 -9.4218 -9.3547 -8.2608 eV per atom.
It is found that the calculated density values, taken in the order of the records, are 13.12 12.71 13.01 12.99 13.00 9.83 g/cm³.
It is found that the D(E_F) values, taken in the order of the records, are 5.89 5.24 3.68 3.70 4.61 107.15 states/eV per cell.